# 1
A geometry-optimized BiPPdS2 structure. Source: the Alexandria database, functional PBE.

POSCAR file:
```
BiPPdS2
1.0
5.1722 0.0000 0.0000
0.0000 5.1722 0.0000
0.0000 0.0000 5.3195
Bi P Pd S
1 1 1 2
Cartesian
0.0000 0.0000 0.0000
0.0000 0.0000 2.6598
2.5861 2.5861 2.6598
0.0000 2.5861 0.0000
2.5861 0.0000 0.0000
```

Properties
Its uncorrected formation energy is 1.176 eV/atom. As for the crystal system: tetragonal. The value obtained for the mass density is 4.8 g/cm³.


# 2
A geometry-optimized SiBi2PPd structure. Source: the Alexandria database, functional PBE.

POSCAR file:
```
SiBi2PPd
1.0
5.6046 0.0000 0.0000
0.0000 5.6046 0.0000
0.0000 0.0000 4.3159
Si Bi P Pd
1 2 1 1
Cartesian
0.0000 0.0000 0.0000
0.0000 2.8023 2.1579
2.8023 0.0000 2.1579
2.8023 2.8023 0.0000
2.8023 2.8023 2.1579
```

Properties
Its uncorrected formation energy is 0.589 eV/atom. As for the crystal system: tetragonal. The value obtained for the mass density is 7.1 g/cm³.


# 3
A geometry-optimized Si2BiPPd structure. Source: the Alexandria database, functional PBE.

POSCAR file:
```
Si2BiPPd
1.0
4.5086 0.0000 0.0000
0.0000 4.5086 0.0000
0.0000 0.0000 5.8337
Si Bi P Pd
2 1 1 1
Cartesian
0.0000 2.2543 0.0000
2.2543 0.0000 0.0000
0.0000 0.0000 2.9168
2.2543 2.2543 2.9168
0.0000 0.0000 0.0000
```

Properties
Its uncorrected formation energy is 0.584 eV/atom. As for the crystal system: tetragonal. The value obtained for the mass density is 5.6 g/cm³.


Q: mass density of number 3 (Si2BiPPd)?
A: 5.6 g/cm³